Below is crystalline ThCo2Ge2 at its relaxed geometry, with properties calculated at the PBE level.

Calculated values
As for the space group: No. 139. The value obtained for the total energy is -6.788 eV per atom.

a b c (Å): 4.133 4.133 5.733
angles (deg): 111.13 111.13 90.00
Site moments in Bohr magnetons follow the coordinates.
Positions (direct):
Ge  0.634  0.634  0.268  -0.01
Ge  0.366  0.366  0.732  -0.01
Th  0.000  0.000  0.000  -0.01
Co  0.750  0.250  0.500  0.65
Co  0.250  0.750  0.500  0.65